This record from Alexandria via LeMat-Bulk describes a geometry-optimized Nb7P4 structure. The functional is PBEsol.

Lattice parameters (Å, degrees): 3.4250 7.6662 13.8234 104.40 90.00 102.91
Last column: nearest neighbours and their distance in Å.
Atoms (fractional coordinates):
P 0.8266 0.6531 0.8877  8 Nb 2.52-2.70
Nb 0.9965 0.9930 0.3344  5 P 2.47-2.57
P 0.1734 0.3469 0.1123  8 Nb 2.52-2.70
Nb 0.2100 0.4200 0.8001  5 P 2.44-2.59
P 0.3695 0.7390 0.3354  8 Nb 2.55-2.62
Nb 0.5000 0.0000 0.5000  4 P 2.59-2.62, 4 Nb 2.85
Nb 0.3374 0.6748 0.0277  4 P 2.56-2.59
Nb 0.5679 0.1358 0.1727  4 P 2.57-2.61
P 0.9356 0.8712 0.1505  7 Nb 2.44-2.59
Nb 0.7900 0.5800 0.1999  5 P 2.44-2.59
P 0.6262 0.2523 0.3986  7 Nb 2.46-2.62
Nb 0.8050 0.6101 0.6877  4 P 2.46-2.70
Nb 0.1753 0.3506 0.5409  5 P 2.57-2.87
Nb 0.1950 0.3899 0.3123  4 P 2.46-2.70
Nb 0.8247 0.6494 0.4591  5 P 2.57-2.87
Nb 0.0035 0.0070 0.6656  5 P 2.47-2.57
P 0.6305 0.2610 0.6646  8 Nb 2.55-2.62
P 0.3738 0.7477 0.6014  7 Nb 2.46-2.62
P 0.0644 0.1288 0.8495  7 Nb 2.44-2.59
Nb 0.4321 0.8642 0.8273  4 P 2.57-2.61
Nb 0.0000 0.0000 0.0000  4 P 2.51-2.66
Nb 0.6626 0.3252 0.9723  4 P 2.56-2.59

- total magnetic moment (Bohr magnetons per cell) = 0.0
- uncorrected energy (eV/atom) = -9.926
- crystal system = monoclinic
- energy of formation from the pure elements (meV/atom) = -933.5